Crystalline LiCr3P at its relaxed geometry. Source: Alexandria, functional PBE.

```
5
Lattice="4.398 0.000 0.000 0.000 4.398 0.000 0.000 0.000 4.398" Properties=species:S:1:pos:R:3 pbc="T T T"
Li 0.000 0.000 0.000
Cr 0.000 2.199 2.199
Cr 2.199 0.000 2.199
Cr 2.199 2.199 0.000
P 2.199 2.199 2.199
```

Computed properties:
**Polymorph energy (0 for the lowest one)**: 0 meV per atom
**Total DFT energy (no corrections)**: -6.668 eV per atom
**Formation energy**: 0.570 eV per atom